First-principles (PBE) data for a relaxed structure of CsSeN2F, as listed in Alexandria.

Space group ... No. 123
Polymorph energy (0 for the lowest one) ... 0.938 eV per atom
Uncorrected energy ... -3.2354 eV per atom
ΔE_f (raw) ... 6.7 eV/f.u.

a b c (Å): 5.477 5.477 4.175
angles (deg): 90.00 90.00 90.00
Each line ends with the local moment (μB).
Positions (direct):
Cs 0.500 0.500 0.500  0.04
N 0.000 0.500 0.000  1.78
N 0.500 0.000 0.000  1.78
Se 0.000 0.000 0.500  0.32
F 0.000 0.000 0.000  0.08

---

First-principles (PBE) data for a relaxed structure of Pm2AgHPd6, as listed in Alexandria.

Space group ... No. 12
Uncorrected energy ... -5.2150 eV per atom

a b c (Å): 5.630 7.217 5.628
angles (deg): 65.75 62.21 90.27
Positions (direct):
Pm 0.750 0.187 0.563
Pm 0.250 0.813 0.437
Ag 0.000 0.000 0.000
H 0.500 0.500 0.000
Pd 0.311 0.357 0.467
Pd 0.704 0.724 0.981
Pd 0.176 0.643 0.046
Pd 0.824 0.357 0.954
Pd 0.296 0.276 0.019
Pd 0.689 0.643 0.533

---

First-principles (PBE) data for a relaxed structure of Ac2Ga5Ge3, as listed in Alexandria.

Space group ... No. 72
Polymorph energy (0 for the lowest one) ... 0.000 eV per atom
Uncorrected energy ... -4.1154 eV per atom
ΔH_f (0 K) ... -0.395 eV/atom

a b c (Å): 6.877 9.024 9.024
angles (deg): 64.46 67.60 67.60
Positions (direct):
Ac 0.125 0.625 0.124
Ac 0.625 0.124 0.625
Ac 0.875 0.375 0.876
Ac 0.375 0.876 0.375
Ga 0.372 0.243 0.014
Ga 0.872 0.014 0.243
Ga 0.628 0.757 0.986
Ga 0.128 0.986 0.757
Ga 0.501 0.749 0.749
Ga 0.499 0.251 0.251
Ga 0.750 0.500 0.500
Ga 0.250 0.500 0.500
Ga 0.999 0.251 0.251
Ga 0.001 0.749 0.749
Ge 0.377 0.503 0.743
Ge 0.877 0.743 0.503
Ge 0.623 0.497 0.257
Ge 0.123 0.257 0.497
Ge 0.250 0.000 0.000
Ge 0.750 0.000 0.000

---

First-principles (PBE) data for a relaxed structure of MgNiSe, as listed in Alexandria.

Space group ... No. 62
Uncorrected energy ... -3.9292 eV per atom
ΔE_f (raw) ... -0.9 eV/f.u.

a b c (Å): 5.405 3.795 10.298
angles (deg): 90.00 90.00 90.00
Positions (direct):
Ni 0.355 0.250 0.468
Ni 0.145 0.750 0.968
Ni 0.645 0.750 0.532
Ni 0.855 0.250 0.032
Mg 0.884 0.250 0.389
Mg 0.616 0.750 0.889
Mg 0.116 0.750 0.611
Mg 0.384 0.250 0.111
Se 0.079 0.250 0.836
Se 0.421 0.750 0.336
Se 0.921 0.750 0.164
Se 0.579 0.250 0.664

---

First-principles (PBE) data for a relaxed structure of LaMgSc4, as listed in Alexandria.

Space group ... No. 216
Uncorrected energy ... -5.0957 eV per atom
ΔH_f (0 K) ... 0.212 eV/atom

a b c (Å): 6.175 6.175 6.175
angles (deg): 60.00 60.00 60.00
Positions (direct):
La 0.750 0.750 0.750
Mg 0.000 0.000 0.000
Sc 0.875 0.375 0.375
Sc 0.375 0.375 0.875
Sc 0.375 0.875 0.375
Sc 0.375 0.375 0.375

---

First-principles (PBE) data for a relaxed structure of Ba2GePb, as listed in Alexandria.

Space group ... No. 123
Polymorph energy (0 for the lowest one) ... 0.166 eV per atom
Uncorrected energy ... -3.4425 eV per atom
ΔH_f (0 K) ... -0.400 eV/atom

a b c (Å): 4.908 5.399 5.399
angles (deg): 90.00 90.00 90.00
Positions (direct):
Pb 0.500 0.000 0.000
Ge 0.500 0.500 0.500
Ba 0.000 0.000 0.500
Ba 0.000 0.500 0.000

---

First-principles (PBE) data for a relaxed structure of MnGePCN, as listed in Alexandria.

Space group ... No. 1
Polymorph energy (0 for the lowest one) ... 0.175 eV per atom
Uncorrected energy ... -7.0802 eV per atom
ΔE_f (raw) ... 1.3 eV/f.u.

a b c (Å): 2.749 4.364 6.099
angles (deg): 108.06 98.60 98.60
Positions (direct):
P 0.840 0.063 0.665
Ge 0.937 0.671 0.895
Mn 0.187 0.904 0.343
C 0.583 0.553 0.291
N 0.438 0.275 0.292

---

First-principles (PBE) data for a relaxed structure of PmAlCd2Pd4, as listed in Alexandria.

Space group ... No. 166
Uncorrected energy ... -4.4999 eV per atom
ΔH_f (0 K) ... -0.613 eV/atom

a b c (Å): 4.684 4.684 8.161
angles (deg): 73.32 73.32 60.00
Positions (direct):
Pm 0.000 0.000 0.000
Al 0.500 0.500 0.500
Cd 0.749 0.749 0.752
Cd 0.251 0.251 0.248
Pd 0.392 0.392 0.825
Pd 0.869 0.869 0.393
Pd 0.131 0.131 0.607
Pd 0.608 0.608 0.175

---

First-principles (PBE) data for a relaxed structure of Mg2BMo, as listed in Alexandria.

Space group ... No. 122
Uncorrected energy ... -4.5118 eV per atom
ΔH_f (0 K) ... 0.663 eV/atom

a b c (Å): 7.392 7.392 5.714
angles (deg): 49.70 49.70 90.00
Positions (direct):
Mo 0.000 0.000 0.000
Mo 0.750 0.250 0.500
B 0.500 0.500 0.000
B 0.250 0.750 0.500
Mg 0.540 0.125 0.250
Mg 0.210 0.625 0.250
Mg 0.375 0.460 0.750
Mg 0.875 0.790 0.750